# 1
# HoErAlCo (PBE, relaxed)
# ΔE_f ... -86 kJ/mol of formula units
# Electronic total energy ... -5.221 eV/atom
data_HoErAlCo
_symmetry_space_group_name_H-M 'F -4 3 m'
_symmetry_Int_Tables_number 216
_symmetry_space_group_name_Hall 'F -4 2 3'
_cell_length_a 6.958
_cell_length_b 6.958
_cell_length_c 6.958
_cell_angle_alpha 90.00
_cell_angle_beta 90.00
_cell_angle_gamma 90.00
loop_
_atom_site_label
_atom_site_type_symbol
_atom_site_fract_x
_atom_site_fract_y
_atom_site_fract_z
_atom_site_occupancy
Ho1 Ho 0.000 0.000 0.000 1
Er1 Er 0.000 0.000 0.500 1
Al1 Al 0.250 0.250 0.250 1
Co1 Co 0.250 0.250 0.750 1

***

# 2
# LiErAlCo (PBE, relaxed)
# ΔE_f ... -89 kJ/mol of formula units
# Electronic total energy ... -4.561 eV/atom
data_LiErAlCo
_symmetry_space_group_name_H-M 'F -4 3 m'
_symmetry_Int_Tables_number 216
_symmetry_space_group_name_Hall 'F -4 2 3'
_cell_length_a 6.361
_cell_length_b 6.361
_cell_length_c 6.361
_cell_angle_alpha 90.00
_cell_angle_beta 90.00
_cell_angle_gamma 90.00
loop_
_atom_site_label
_atom_site_type_symbol
_atom_site_fract_x
_atom_site_fract_y
_atom_site_fract_z
_atom_site_occupancy
Li1 Li 0.000 0.000 0.000 1
Er1 Er 0.250 0.250 0.750 1
Al1 Al 0.250 0.250 0.250 1
Co1 Co 0.000 0.000 0.500 1

***

# 3
# ErLuAlCo (PBE, relaxed)
# ΔE_f ... -95 kJ/mol of formula units
# Electronic total energy ... -5.228 eV/atom
data_ErLuAlCo
_symmetry_space_group_name_H-M 'F -4 3 m'
_symmetry_Int_Tables_number 216
_symmetry_space_group_name_Hall 'F -4 2 3'
_cell_length_a 6.887
_cell_length_b 6.887
_cell_length_c 6.887
_cell_angle_alpha 90.00
_cell_angle_beta 90.00
_cell_angle_gamma 90.00
loop_
_atom_site_label
_atom_site_type_symbol
_atom_site_fract_x
_atom_site_fract_y
_atom_site_fract_z
_atom_site_occupancy
Er1 Er 0.000 0.000 0.000 1
Lu1 Lu 0.000 0.000 0.500 1
Al1 Al 0.250 0.250 0.250 1
Co1 Co 0.250 0.250 0.750 1

***

# 4
# Er2Mn2AlCo5 (PBE, relaxed)
# ΔE_f ... -53 kJ/mol of formula units
# Electronic total energy ... -6.728 eV/atom
data_Er2Mn2AlCo5
_symmetry_space_group_name_H-M 'P 4/m b m'
_symmetry_Int_Tables_number 127
_symmetry_space_group_name_Hall '-P 4 2ab'
_cell_length_a 9.429
_cell_length_b 9.429
_cell_length_c 3.267
_cell_angle_alpha 90.00
_cell_angle_beta 90.00
_cell_angle_gamma 90.00
loop_
_atom_site_label
_atom_site_type_symbol
_atom_site_fract_x
_atom_site_fract_y
_atom_site_fract_z
_atom_site_occupancy
Er1 Er 0.177 0.323 0.000 1
Mn1 Mn 0.123 0.623 0.000 1
Al1 Al 0.000 0.000 0.000 1
Co1 Co 0.000 0.500 0.500 1
Co2 Co 0.060 0.798 0.500 1